# CdH3W

Crystalline CdH3W at its relaxed geometry (PBE, Alexandria).

Unit cell a=3.6398 b=3.6398 c=3.6398 alpha=90.00 beta=90.00 gamma=90.00
Atoms (fractional coordinates):
Cd (0.0000, 0.0000, 0.0000)
H (0.0000, 0.0000, 0.5000)
H (0.0000, 0.5000, 0.0000)
H (0.5000, 0.0000, 0.0000)
W (0.5000, 0.5000, 0.5000)

Calculated values
size of the total moment = 0.000 μB/f.u.
energy above the lowest structure with this stoichiometry = 0.962 eV per atom
total energy = -16.88 eV per cell
calculated volume = 9.64 Å³ per atom

# CdH3W

Crystalline CdH3W at its relaxed geometry (PBE, Alexandria).

Unit cell a=3.6266 b=3.6266 c=3.6266 alpha=90.00 beta=90.00 gamma=90.00
Atoms (fractional coordinates):
Cd (0.0000, 0.0000, 0.0000)
H (0.0000, 0.5000, 0.5000)
H (0.5000, 0.0000, 0.5000)
H (0.5000, 0.5000, 0.0000)
W (0.5000, 0.5000, 0.5000)

Calculated values
size of the total moment = 0.000 μB/f.u.
energy above the lowest structure with this stoichiometry = 0.000 eV per atom
total energy = -21.69 eV per cell
calculated volume = 9.54 Å³ per atom

# CdH2W

Crystalline CdH2W at its relaxed geometry (PBE, Alexandria).

Unit cell a=4.8541 b=4.8541 c=4.8541 alpha=111.65 beta=111.65 gamma=105.19
Atoms (fractional coordinates):
Cd (0.0000, 0.0000, 0.0000)
Cd (0.7500, 0.2500, 0.5000)
H (0.2056, 0.6250, 0.0806)
H (0.3750, 0.4556, 0.5806)
H (0.5444, 0.1250, 0.9194)
H (0.8750, 0.7944, 0.4194)
W (0.2500, 0.7500, 0.5000)
W (0.5000, 0.5000, 0.0000)

Calculated values
size of the total moment = 0.000 μB/f.u.
energy above the lowest structure with this stoichiometry = 0.000 eV per atom
total energy = -37.54 eV per cell
calculated volume = 10.96 Å³ per atom